1.
This record from the Alexandria database describes crystalline ZnFe2Ni4 at its relaxed geometry. The functional is PBE-GGA.

Output
energy	-80.5	eV for the cell shown
ΔE_f	0.151	eV per atom
ρ	7.8	g/cm3

abc: 6.846 7.057 3.637
angles: 90.00 90.00 90.00
Space group Cmmm (No. 65)
Asymmetric unit:
Zn (0.000, 0.000, 0.000) (multiplicity 2)
Fe (0.209, 0.500, 0.500) (multiplicity 4)
Ni (0.000, 0.230, 0.500) (multiplicity 4)
Ni (0.250, 0.250, 0.000) (multiplicity 4)


2.
This record from the Alexandria database describes crystalline Nd2Dy4Ho5 at its relaxed geometry. The functional is PBE-GGA.

Output
energy	-50.2	eV for the cell shown
polymorph energy (0 for the lowest one)	0.0	meV per atom
ΔE_f	0.053	eV per atom
ρ	8.3	g/cm3

abc: 3.528 8.776 11.691
angles: 84.92 89.97 78.41
Space group P-1 (No. 2)
Asymmetric unit:
Nd (0.136, 0.228, 0.313) (multiplicity 2)
Dy (0.231, 0.037, 0.856) (multiplicity 2)
Dy (0.322, 0.856, 0.426) (multiplicity 2)
Ho (0.000, 0.500, 0.500) (multiplicity 1)
Ho (0.093, 0.316, 0.043) (multiplicity 2)
Ho (0.459, 0.582, 0.216) (multiplicity 2)


3.
This record from the Alexandria database describes crystalline Np2Si6Rh at its relaxed geometry. The functional is PBE-GGA.

Output
energy	-69.4	eV for the cell shown
formation energy without anion corrections	-0.401	eV/atom
ρ	8.4	g/cm3

abc: 5.7273 5.7273 5.1742
angles: 90.00 90.00 120.00
Space group P-3m1 (No. 164)
Asymmetric unit:
Np (0.3333, 0.6667, 0.2069) (multiplicity 2)
Si (0.1861, 0.3723, 0.6922) (multiplicity 6)
Rh (0.0000, 0.0000, 0.0000) (multiplicity 1)


4.
This record from the Alexandria database describes crystalline MnTl2Au at its relaxed geometry. The functional is PBE-GGA.

Output
energy	-32.6	eV for the cell shown
polymorph energy (0 for the lowest one)	82.2	meV per atom
ΔE_f	0.224	eV per atom
ρ	12.1	g/cm3

abc: 3.248 4.919 11.377
angles: 90.00 90.00 90.00
Space group Imm2 (No. 44)
Asymmetric unit:
Mn (0.000, 0.000, 0.000) (multiplicity 2)
Tl (0.000, 0.000, 0.481) (multiplicity 2)
Tl (0.000, 0.500, 0.272) (multiplicity 2)
Au (0.000, 0.500, 0.687) (multiplicity 2)


5.
This record from the Alexandria database describes crystalline Sr2BeAg at its relaxed geometry. The functional is PBE-GGA.

Output
energy	-9.1	eV for the cell shown
ΔE_f	0.208	eV per atom
ρ	4.2	g/cm3

abc: 3.604 3.604 8.812
angles: 90.00 90.00 90.00
Space group P4mm (No. 99)
Asymmetric unit:
Sr (0.000, 0.000, 0.000) (multiplicity 1)
Sr (0.500, 0.500, 0.396) (multiplicity 1)
Be (0.500, 0.500, 0.753) (multiplicity 1)
Ag (0.000, 0.000, 0.651) (multiplicity 1)